# 1
Here is a relaxed CdTeOsS2 crystal from Alexandria. Energies are from GGA-PBE.

a = 4.4834 Å, b = 4.4834 Å, c = 5.9605 Å
α = 90.00°, β = 90.00°, γ = 90.00°
With the nearest neighbours (Å) after each atom.
Element x y z (fractional)
Cd 0.0000 0.0000 0.0000  4 Te 3.17
Te 0.5000 0.5000 0.0000  2 Os 2.98, 4 Cd 3.17
Os 0.5000 0.5000 0.5000  4 S 2.24
S 0.0000 0.5000 0.5000  2 Os 2.24
S 0.5000 0.0000 0.5000  2 Os 2.24

Computed properties:
raw total energy = -22.4 eV for the cell shown
V = 24.0 Å³ per atom



# 2
Here is a relaxed Cd2OsWS crystal from Alexandria. Energies are from GGA-PBE.

a = 5.1896 Å, b = 5.1896 Å, c = 4.7193 Å
α = 90.00°, β = 90.00°, γ = 90.00°
With the nearest neighbours (Å) after each atom.
Element x y z (fractional)
Cd 0.0000 0.5000 0.0000  2 Os 2.59
Cd 0.5000 0.0000 0.0000  2 Os 2.59
Os 0.0000 0.0000 0.0000  2 W 2.36, 4 Cd 2.59
W 0.0000 0.0000 0.5000  2 Os 2.36
S 0.5000 0.5000 0.5000  8 Cd 3.51, 4 W 3.67

Computed properties:
raw total energy = -23.3 eV for the cell shown
V = 25.4 Å³ per atom